Entry one
The following is a DFT calculation (GGA-PBE) of a geometry-optimized YMn2Ni2 structure.

The space group is I4/mmm (No. 139) and the conventional cell measures 3.9647, 3.9647 and 9.4419 Å, with angles of 90.00, 90.00 and 90.00 degrees. The asymmetric unit holds Y at (0.0000, 0.0000, 0.0000), Mn at (0.0000, 0.0000, 0.3923) and Ni at (0.0000, 0.5000, 0.2500).

As for the total moment: 2.5 μB per formula unit.

***

Entry two
The following is a DFT calculation (GGA-PBE) of a geometry-optimized YMn2Ni2 structure.

The space group is P4/mbm (No. 127) and the conventional cell measures 7.2254, 7.2254 and 2.6556 Å, with angles of 90.00, 90.00 and 90.00 degrees. The asymmetric unit holds Y at (0.0000, 0.0000, 0.0000), Mn at (0.0997, 0.4003, 0.0000) and Ni at (0.1878, 0.6878, 0.5000).

As for the total moment: 0.0 μB per formula unit.

***

Top of the stability list: entry one, leading by 177 meV per atom.

***

Entry one
The following is a DFT calculation (GGA-PBE) of a geometry-optimized YMn3Ni structure.

The space group is Pm-3m (No. 221) and the conventional cell measures 4.7612, 4.7612 and 4.7612 Å, with angles of 90.00, 90.00 and 90.00 degrees. The asymmetric unit holds Y at (0.0000, 0.0000, 0.0000), Mn at (0.0000, 0.0000, 0.5000) and Ni at (0.5000, 0.5000, 0.5000).

As for the total moment: 10.4 μB per formula unit.

***

Entry two
The following is a DFT calculation (GGA-PBE) of a geometry-optimized YMn3Ni structure.

The space group is Pm-3m (No. 221) and the conventional cell measures 4.5646, 4.5646 and 4.5646 Å, with angles of 90.00, 90.00 and 90.00 degrees. The asymmetric unit holds Y at (0.0000, 0.0000, 0.0000), Mn at (0.0000, 0.5000, 0.5000) and Ni at (0.5000, 0.5000, 0.5000).

As for the total moment: 11.3 μB per formula unit.

***

Top of the stability list: entry two, leading by 1479 meV per atom.

***

Entry one
The following is a DFT calculation (GGA-PBE) of a geometry-optimized MnZn2Ni8 structure.

The space group is C2/m (No. 12) and the conventional cell measures 7.2465, 9.5828 and 3.8427 Å, with angles of 90.00, 90.12 and 90.00 degrees. The asymmetric unit holds Mn at (0.0000, 0.0000, 0.0000), Zn at (0.0000, 0.3751, 0.5000), Ni at (0.0000, 0.2428, 0.0000), Ni at (0.1676, 0.1310, 0.5009) and Ni at (0.1699, 0.5000, 0.9993).

As for the total moment: 5.7 μB per formula unit.

***

Entry two
The following is a DFT calculation (GGA-PBE) of a geometry-optimized MnZn2Ni8 structure.

The space group is C2/m (No. 12) and the conventional cell measures 6.5209, 12.5047 and 4.3167 Å, with angles of 90.00, 130.35 and 90.00 degrees. The asymmetric unit holds Mn at (0.0000, 0.0000, 0.0000), Zn at (0.0000, 0.3142, 0.5000), Ni at (0.0000, 0.1985, 0.0000), Ni at (0.0294, 0.5000, 0.7732) and Ni at (0.2355, 0.1311, 0.7248).

As for the total moment: 6.5 μB per formula unit.

***

Top of the stability list: entry two, leading by 43 meV per atom.

***

Entry one
The following is a DFT calculation (GGA-PBE) of a geometry-optimized MnZnNi3 structure.

The space group is Cmcm (No. 63) and the conventional cell measures 4.9146, 12.0181 and 4.5559 Å, with angles of 90.00, 90.00 and 90.00 degrees. The asymmetric unit holds Mn at (0.0000, 0.1414, 0.2500), Zn at (0.0000, 0.5000, 0.0000), Ni at (0.0000, 0.3242, 0.7500) and Ni at (0.2422, 0.3388, 0.2500).

As for the total moment: 4.8 μB per formula unit.

***

Entry two
The following is a DFT calculation (GGA-PBE) of a geometry-optimized MnZnNi3 structure.

The space group is Pm-3m (No. 221) and the conventional cell measures 4.2989, 4.2989 and 4.2989 Å, with angles of 90.00, 90.00 and 90.00 degrees. The asymmetric unit holds Mn at (0.0000, 0.0000, 0.0000), Zn at (0.5000, 0.5000, 0.5000) and Ni at (0.0000, 0.5000, 0.5000).

As for the total moment: 5.0 μB per formula unit.

***

Entry three
The following is a DFT calculation (GGA-PBE) of a geometry-optimized MnZnNi3 structure.

The space group is P2_1/c (No. 14) and the conventional cell measures 6.4673, 4.9656 and 7.8161 Å, with angles of 90.00, 107.61 and 90.00 degrees. The asymmetric unit holds Mn at (0.1891, 0.2448, 0.0475), Zn at (0.3907, 0.5382, 0.8443), Ni at (0.0036, 0.5169, 0.2493), Ni at (0.2123, 0.7448, 0.0512) and Ni at (0.3904, 0.0348, 0.8508).

As for the total moment: 4.5 μB per formula unit.

***

Top of the stability list: entry three, leading by 217 meV per atom.

***

Entry one
The following is a DFT calculation (GGA-PBE) of a geometry-optimized MnZn4Ni structure.

The space group is C2/m (No. 12) and the conventional cell measures 8.7891, 4.3070 and 5.2870 Å, with angles of 90.00, 125.07 and 90.00 degrees. The asymmetric unit holds Mn at (0.0000, 0.0000, 0.0000), Zn at (0.1608, 0.5000, 0.4667), Zn at (0.1746, 0.5000, 0.9810) and Ni at (0.0000, 0.0000, 0.5000).

As for the total moment: 3.8 μB per formula unit.

***

Entry two
The following is a DFT calculation (GGA-PBE) of a geometry-optimized MnZn4Ni structure.

The space group is F-43m (No. 216) and the conventional cell measures 6.9614, 6.9614 and 6.9614 Å, with angles of 90.00, 90.00 and 90.00 degrees. The asymmetric unit holds Mn at (0.0000, 0.0000, 0.0000), Zn at (0.1247, 0.1247, 0.3753) and Ni at (0.2500, 0.2500, 0.7500).

As for the total moment: 4.7 μB per formula unit.

***

Top of the stability list: entry one, leading by 84 meV per atom.

***

Entry one
The following is a DFT calculation (GGA-PBE) of a geometry-optimized Zr3MnNi structure.

The space group is Pm-3m (No. 221) and the conventional cell measures 4.7737, 4.7737 and 4.7737 Å, with angles of 90.00, 90.00 and 90.00 degrees. The asymmetric unit holds Zr at (0.0000, 0.0000, 0.5000), Mn at (0.5000, 0.5000, 0.5000) and Ni at (0.0000, 0.0000, 0.0000).

As for the total moment: 0.1 μB per formula unit.

***

Entry two
The following is a DFT calculation (GGA-PBE) of a geometry-optimized Zr3MnNi structure.

The space group is Pm-3m (No. 221) and the conventional cell measures 4.7521, 4.7521 and 4.7521 Å, with angles of 90.00, 90.00 and 90.00 degrees. The asymmetric unit holds Zr at (0.0000, 0.0000, 0.5000), Mn at (0.0000, 0.0000, 0.0000) and Ni at (0.5000, 0.5000, 0.5000).

As for the total moment: 0.0 μB per formula unit.

***

Top of the stability list: entry two, leading by 210 meV per atom.

***

Entry one
The following is a DFT calculation (GGA-PBE) of a geometry-optimized Zr2MnNi9 structure.

The space group is R-3m (No. 166, hexagonal axes) and the conventional cell measures 4.8167, 4.8167 and 23.6450 Å, with angles of 90.00, 90.00 and 120.00 degrees. The asymmetric unit holds Zr at (0.0000, 0.0000, 0.1355), Mn at (0.0000, 0.0000, 0.0000), Ni at (0.0000, 0.0000, 0.3337), Ni at (0.0000, 0.0000, 0.5000) and Ni at (0.0038, 0.5019, 0.9165).

As for the total moment: 5.6 μB per formula unit.

***

Entry two
The following is a DFT calculation (GGA-PBE) of a geometry-optimized Zr2MnNi9 structure.

The space group is P4/mmm (No. 123) and the conventional cell measures 3.7145, 3.7145 and 11.0075 Å, with angles of 90.00, 90.00 and 90.00 degrees. The asymmetric unit holds Zr at (0.0000, 0.0000, 0.1741), Mn at (0.0000, 0.0000, 0.5000), Ni at (0.0000, 0.5000, 0.0000), Ni at (0.0000, 0.5000, 0.3442), Ni at (0.5000, 0.5000, 0.1704) and Ni at (0.5000, 0.5000, 0.5000).

As for the total moment: 4.6 μB per formula unit.

***

Top of the stability list: entry two, leading by 88 meV per atom.